Model w:
Entry from Alexandria: crystalline SmBeAu at its relaxed geometry (GGA-PBE).

Computed properties:
Volume ... 58.7 Å³/f.u.

Cell lengths 7.2686, 4.3812, 7.3699 Å; angles 90.00, 90.00, 90.00 degrees
Space group Pnma (No. 62)
Asymmetric unit:
1 Sm 0.0019 0.2500 0.2071
2 Be 0.1864 0.2500 0.5774
3 Au 0.2058 0.7500 0.4125

***

Model x:
Entry from Alexandria: crystalline SmBeAu at its relaxed geometry (GGA-PBE).

Computed properties:
Volume ... 61.0 Å³/f.u.

Cell lengths 4.2486, 4.2486, 3.9000 Å; angles 90.00, 90.00, 120.00 degrees
Space group P-6m2 (No. 187)
Asymmetric unit:
1 Sm 0.0000 0.0000 0.0000
2 Be 0.3333 0.6667 0.5000
3 Au 0.6667 0.3333 0.5000

***

Ranked by calculated energy, most stable first: model x, model w.

***

Model w:
Entry from Alexandria: crystalline BeSn2Au2 at its relaxed geometry (GGA-PBE).

Computed properties:
Volume ... 111.8 Å³/f.u.

Cell lengths 3.7810, 3.7810, 15.6447 Å; angles 90.00, 90.00, 90.00 degrees
Space group I4/mmm (No. 139)
Asymmetric unit:
1 Be 0.0000 0.0000 0.0000
2 Sn 0.0000 0.0000 0.4028
3 Au 0.0000 0.5000 0.2500

***

Model x:
Entry from Alexandria: crystalline BeSn2Au2 at its relaxed geometry (GGA-PBE).

Computed properties:
Volume ... 104.2 Å³/f.u.

Cell lengths 6.6247, 6.6247, 4.7475 Å; angles 90.00, 90.00, 90.00 degrees
Space group P4/mbm (No. 127)
Asymmetric unit:
1 Be 0.0000 0.0000 0.0000
2 Sn 0.1674 0.3326 0.5000
3 Au 0.1676 0.6676 0.0000

***

Ranked by calculated energy, most stable first: model x, model w.